Here is a relaxed structure of K2TlInMo from Alexandria. Energies are from PBE.

## Properties
symmetry = P4/mmm, No. 123
mass density = 3.31 Mg/m³
total magnetization = 5.38 μB per formula unit
DOS at the Fermi energy = 3.58 states/eV/cell
formation energy = 1.17 eV per atom

Cell lengths 6.5620, 5.7500, 6.5620 Å; angles 90.00, 90.00, 90.00 degrees
Closest atoms and distances in Å follow each position.
Fractional coordinates of all 5 atoms:
Mo1 0.5000 0.5000 0.5000  8 K 4.36, 4 In 4.64
K1 0.5000 0.0000 0.0000  2 Tl 3.28
K2 0.0000 0.0000 0.5000  2 Tl 3.28
Tl1 0.0000 0.0000 0.0000  2 In 2.88
In1 0.0000 0.5000 0.0000  2 Tl 2.88